Version i
A relaxed S crystal. Source: the Alexandria database, functional PBE.

Unit cell a=3.433 b=3.433 c=6.746 alpha=90.00 beta=90.00 gamma=120.00
Fractional coordinates of all 4 atoms:
S: 0.000 0.000 0.000
S: 0.000 0.000 0.500
S: 0.333 0.667 0.250
S: 0.667 0.333 0.750

Properties
* M_tot: 0.00 μB per formula unit
* symmetry: P6_3/mmc
* N(E_F): 1.46 states/eV/cell



Version ii
A relaxed S crystal. Source: the Alexandria database, functional PBE.

Unit cell a=7.076 b=7.076 c=7.076 alpha=109.47 beta=109.47 gamma=109.47
Fractional coordinates of all 8 atoms:
S: 0.000 0.000 0.365
S: 0.000 0.000 0.635
S: 0.000 0.365 0.000
S: 0.000 0.635 0.000
S: 0.365 0.000 0.000
S: 0.365 0.365 0.365
S: 0.635 0.000 0.000
S: 0.635 0.635 0.635

Properties
* M_tot: 0.00 μB per formula unit
* symmetry: Im-3m
* N(E_F): 4.77 states/eV/cell



Version iii
A relaxed S crystal. Source: the Alexandria database, functional PBE.

Unit cell a=5.288 b=5.288 c=5.710 alpha=106.76 beta=106.76 gamma=110.49
Fractional coordinates of all 4 atoms:
S: 0.029 0.350 0.341
S: 0.350 0.029 0.841
S: 0.650 0.971 0.159
S: 0.971 0.650 0.659

Properties
* M_tot: 0.00 μB per formula unit
* symmetry: C2/c
* N(E_F): 0.00 states/eV/cell



Version iv
A relaxed S crystal. Source: the Alexandria database, functional PBE.

Unit cell a=3.076 b=3.076 c=5.808 alpha=104.57 beta=105.02 gamma=90.15
Fractional coordinates of all 2 atoms:
S: 0.085 0.083 0.174
S: 0.915 0.917 0.826

Properties
* M_tot: 0.00 μB per formula unit
* symmetry: P-1
* N(E_F): 0.31 states/eV/cell



What is the stability order? It is version iii, version iv, version ii, version i, from most stable to least stable.



Version i
A relaxed S crystal. Source: the Alexandria database, functional PBE.

Unit cell a=3.942 b=5.717 c=5.728 alpha=89.93 beta=69.96 gamma=90.00
Fractional coordinates of all 4 atoms:
S: 0.163 0.168 0.175
S: 0.337 0.168 0.824
S: 0.663 0.832 0.176
S: 0.837 0.832 0.825

Properties
* M_tot: 0.00 μB per formula unit
* symmetry: P-1
* N(E_F): 0.00 states/eV/cell



Version ii
A relaxed S crystal. Source: the Alexandria database, functional PBE.

Unit cell a=10.713 b=10.713 c=5.201 alpha=90.00 beta=90.00 gamma=90.00
Fractional coordinates of all 16 atoms:
S: 0.033 0.348 0.000
S: 0.130 0.581 0.000
S: 0.219 0.593 0.500
S: 0.264 0.327 0.500
S: 0.327 0.736 0.500
S: 0.348 0.967 0.000
S: 0.407 0.219 0.500
S: 0.419 0.130 0.000
S: 0.581 0.870 0.000
S: 0.593 0.781 0.500
S: 0.652 0.033 0.000
S: 0.673 0.264 0.500
S: 0.736 0.673 0.500
S: 0.781 0.407 0.500
S: 0.870 0.419 0.000
S: 0.967 0.652 0.000

Properties
* M_tot: 0.13 μB per formula unit
* symmetry: P4/m
* N(E_F): 5.33 states/eV/cell



Version iii
A relaxed S crystal. Source: the Alexandria database, functional PBE.

Unit cell a=7.309 b=7.361 c=7.569 alpha=67.25 beta=67.93 gamma=61.90
Fractional coordinates of all 10 atoms:
S: 0.104 0.173 0.308
S: 0.128 0.740 0.084
S: 0.168 0.110 0.809
S: 0.262 0.879 0.418
S: 0.348 0.660 0.252
S: 0.652 0.340 0.748
S: 0.738 0.121 0.582
S: 0.832 0.890 0.191
S: 0.872 0.260 0.916
S: 0.896 0.827 0.692

Properties
* M_tot: 0.00 μB per formula unit
* symmetry: P-1
* N(E_F): 0.00 states/eV/cell



Version iv
A relaxed S crystal. Source: the Alexandria database, functional PBE.

Unit cell a=2.729 b=2.729 c=2.729 alpha=109.47 beta=109.47 gamma=109.47
Fractional coordinates of all 1 atoms:
S: 0.000 0.000 0.000

Properties
* M_tot: 0.00 μB per formula unit
* symmetry: Im-3m
* N(E_F): 1.14 states/eV/cell



What is the stability order? It is version i, version iii, version ii, version iv, from most stable to least stable.



Version i
A relaxed S crystal. Source: the Alexandria database, functional PBE.

Unit cell a=11.288 b=11.288 c=5.941 alpha=90.00 beta=90.00 gamma=120.00
Fractional coordinates of all 18 atoms:
S: 0.012 0.286 0.000
S: 0.054 0.266 0.337
S: 0.077 0.489 0.939
S: 0.156 0.746 0.402
S: 0.212 0.946 0.337
S: 0.254 0.410 0.402
S: 0.274 0.988 0.000
S: 0.392 0.346 0.341
S: 0.412 0.923 0.939
S: 0.455 0.388 0.003
S: 0.511 0.588 0.939
S: 0.590 0.844 0.402
S: 0.612 0.067 0.003
S: 0.654 0.046 0.341
S: 0.714 0.726 0.000
S: 0.734 0.788 0.337
S: 0.933 0.545 0.003
S: 0.954 0.608 0.341

Properties
* M_tot: 0.00 μB per formula unit
* symmetry: P3
* N(E_F): 0.00 states/eV/cell



Version ii
A relaxed S crystal. Source: the Alexandria database, functional PBE.

Unit cell a=5.420 b=9.493 c=15.935 alpha=90.00 beta=90.00 gamma=90.00
Fractional coordinates of all 24 atoms:
S: 0.000 0.000 0.213
S: 0.000 0.000 0.787
S: 0.022 0.305 0.106
S: 0.022 0.305 0.894
S: 0.198 0.866 0.137
S: 0.198 0.866 0.863
S: 0.222 0.255 0.000
S: 0.278 0.755 0.500
S: 0.302 0.366 0.363
S: 0.302 0.366 0.637
S: 0.478 0.805 0.394
S: 0.478 0.805 0.606
S: 0.500 0.500 0.287
S: 0.500 0.500 0.713
S: 0.522 0.195 0.394
S: 0.522 0.195 0.606
S: 0.698 0.634 0.363
S: 0.698 0.634 0.637
S: 0.722 0.245 0.500
S: 0.778 0.745 0.000
S: 0.802 0.134 0.137
S: 0.802 0.134 0.863
S: 0.978 0.695 0.106
S: 0.978 0.695 0.894

Properties
* M_tot: 0.00 μB per formula unit
* symmetry: Pnnm
* N(E_F): 0.00 states/eV/cell



What is the stability order? It is version ii, version i, from most stable to least stable.



Version i
A relaxed S crystal. Source: the Alexandria database, functional PBE.

Unit cell a=11.879 b=10.437 c=6.752 alpha=84.55 beta=61.00 gamma=34.46
Fractional coordinates of all 8 atoms:
S: 0.034 0.716 0.034
S: 0.069 0.069 0.681
S: 0.284 0.966 0.284
S: 0.319 0.319 0.931
S: 0.681 0.681 0.069
S: 0.716 0.034 0.716
S: 0.931 0.931 0.319
S: 0.966 0.284 0.966

Properties
* M_tot: 0.00 μB per formula unit
* symmetry: Fddd
* N(E_F): 0.00 states/eV/cell



Version ii
A relaxed S crystal. Source: the Alexandria database, functional PBE.

Unit cell a=5.256 b=5.256 c=2.525 alpha=90.00 beta=90.00 gamma=130.13
Fractional coordinates of all 2 atoms:
S: 0.105 0.895 0.000
S: 0.895 0.105 0.000

Properties
* M_tot: 0.00 μB per formula unit
* symmetry: Cmmm
* N(E_F): 1.36 states/eV/cell



What is the stability order? It is version i, version ii, from most stable to least stable.